A plane-wave DFT calculation with GGA-PBE was carried out for KRb2H after structural relaxation.

Unit cell a=4.4300 b=4.4300 c=36.3021 alpha=90.00 beta=90.00 gamma=120.00
Space group R-3m (No. 166, hexagonal axes)
Unique sites:
K 0.0000 0.0000 0.0000
Rb 0.0000 0.0000 0.1188
H 0.0000 0.0000 0.5000

ΔE to the lowest computed polymorph (meV/atom): 19
Electronic total energy (eV per atom): -1.60
Density of states at the Fermi level (states/eV per atom): 0.624

=====

A plane-wave DFT calculation with GGA-PBE was carried out for KRb5H6 after structural relaxation.

Unit cell a=7.286 b=12.580 c=7.256 alpha=90.00 beta=109.43 gamma=90.00
Space group C2/m (No. 12)
Unique sites:
K 0.000 0.000 0.000
Rb 0.000 0.166 0.500
Rb 0.000 0.333 0.000
Rb 0.000 0.500 0.500
H 0.244 0.000 0.755
H 0.245 0.163 0.246

Electronic total energy (eV per atom): -2.35
Density of states at the Fermi level (states/eV per atom): 0.000

=====

A plane-wave DFT calculation with GGA-PBE was carried out for KRb2H after structural relaxation.

Unit cell a=4.4798 b=4.4798 c=35.0702 alpha=90.00 beta=90.00 gamma=120.00
Space group R3m (No. 160, hexagonal axes)
Unique sites:
K 0.0000 0.0000 0.0000
Rb 0.0000 0.0000 0.2163
Rb 0.0000 0.0000 0.4509
H 0.0000 0.0000 0.8339

ΔE to the lowest computed polymorph (meV/atom): 0
Electronic total energy (eV per atom): -1.62
Density of states at the Fermi level (states/eV per atom): 0.530

=====

A plane-wave DFT calculation with GGA-PBE was carried out for K6Rb3H after structural relaxation.

Unit cell a=14.499 b=23.627 c=8.128 alpha=90.00 beta=90.00 gamma=90.00
Space group Cmc2_1 (No. 36)
Unique sites:
K 0.000 0.104 0.000
K 0.000 0.245 0.675
K 0.152 0.251 0.134
K 0.164 0.402 0.497
Rb 0.000 0.428 0.995
Rb 0.168 0.074 0.497
H 0.000 0.216 0.988

Electronic total energy (eV per atom): -1.29
Density of states at the Fermi level (states/eV per atom): 0.601

=====

A plane-wave DFT calculation with GGA-PBE was carried out for K3RbH4 after structural relaxation.

Unit cell a=5.727 b=5.727 c=5.727 alpha=90.00 beta=90.00 gamma=90.00
Space group Pm-3m (No. 221)
Unique sites:
K 0.000 0.000 0.500
Rb 0.500 0.500 0.500
H 0.000 0.000 0.000
H 0.000 0.500 0.500

Electronic total energy (eV per atom): -2.41
Density of states at the Fermi level (states/eV per atom): 0.000

=====

A plane-wave DFT calculation with GGA-PBE was carried out for KRb2H after structural relaxation.

Unit cell a=4.041 b=4.041 c=11.804 alpha=90.00 beta=90.00 gamma=90.00
Space group P4/mmm (No. 123)
Unique sites:
K 0.000 0.000 0.000
Rb 0.500 0.500 0.346
H 0.000 0.000 0.500

ΔE to the lowest computed polymorph (meV/atom): 76
Electronic total energy (eV per atom): -1.54
Density of states at the Fermi level (states/eV per atom): 0.541

=====

A plane-wave DFT calculation with GGA-PBE was carried out for K12Rb6H after structural relaxation.

Unit cell a=14.2280 b=14.2280 c=23.1436 alpha=90.00 beta=90.00 gamma=120.00
Space group R-3m (No. 166, hexagonal axes)
Unique sites:
K 0.1080 0.2159 0.2504
K 0.1114 0.2228 0.9162
Rb 0.1054 0.2107 0.5786
H 0.0000 0.0000 0.5000

Electronic total energy (eV per atom): -1.17
Density of states at the Fermi level (states/eV per atom): 0.798

=====

A plane-wave DFT calculation with GGA-PBE was carried out for K2Rb5H6 after structural relaxation.

Unit cell a=11.807 b=9.057 c=14.816 alpha=90.00 beta=99.04 gamma=90.00
Space group C2/c (No. 15)
Unique sites:
K 0.173 0.054 0.037
Rb 0.000 0.270 0.250
Rb 0.029 0.369 0.599
Rb 0.184 0.112 0.783
H 0.004 0.044 0.629
H 0.138 0.350 0.065
H 0.153 0.436 0.792

Electronic total energy (eV per atom): -2.18
Density of states at the Fermi level (states/eV per atom): 0.065